Here is a geometry-optimized ErHg6Pd12 structure from Alexandria. Energies are from GGA-PBE.

## Properties
Crystal system: trigonal

Cell and atoms, written as POSCAR:
```
ErHg6Pd12
1.0
7.2107 -0.1910 -0.2288
-1.2819 7.0984 -0.2288
-1.2819 -1.4935 6.9433
Hg Pd Er
6 12 1
Cartesian
0.4660 2.8466 1.0870
4.1808 2.5673 5.3988
2.7431 0.9101 1.0721
1.9038 4.5039 5.4137
0.4837 0.5457 2.9951
4.1632 4.8683 3.4907
3.2894 0.2940 3.9352
-1.2766 0.6907 5.1150
-0.3992 5.9316 4.8922
-0.2081 3.2829 3.9460
5.0461 -0.5176 1.5936
0.8762 5.2395 -0.2245
1.3704 1.5836 5.4934
3.2765 3.8304 0.9924
5.9235 4.7233 1.3708
1.3575 5.1200 2.5506
4.8550 2.1310 2.5397
3.7706 0.1745 6.7103
0.0000 0.0000 0.0000
```

---

Here is a geometry-optimized Er2Hg2Pd structure from Alexandria. Energies are from GGA-PBE.

## Properties
Energy above the most stable polymorph in this dataset in meV per atom: 35
Crystal system: orthorhombic

Cell and atoms, written as POSCAR:
```
Er2Hg2Pd
1.0
5.7217 0.0000 0.0000
0.0000 6.5566 0.0000
-2.8608 -3.2783 6.4115
Hg Pd Er
4 2 4
Cartesian
2.8608 5.5507 1.2568
0.0000 1.0060 1.2568
2.8608 2.2724 5.1546
0.0000 -2.2724 5.1546
1.4304 3.2783 0.0000
4.2913 3.2783 0.0000
2.8608 1.9493 2.0564
0.0000 4.6073 2.0564
2.8608 -1.3290 4.3551
0.0000 1.3290 4.3551
```

---

One value per record, in order, for formation energy from the elements: -136, -493 meV/atom.